[1]
First-principles (PBE) data for a geometry-optimized ZrCdRh2 structure, as listed in Alexandria.

## Properties
The energy relative to the elements is -0.57 eV per formula unit. The calculation puts the total energy at -6.18 eV/atom. The density of states at the Fermi level is 0.84 states/eV/f.u. The volume is 304 Å³ per cell.

a = 7.1330 Å, b = 7.1330 Å, c = 5.9693 Å
α = 90.00°, β = 90.00°, γ = 90.00°
Space group I-42d (No. 122)
Unique sites:
Zr  0.0000  0.0000  0.0000 [4 per cell]
Cd  0.0000  0.0000  0.5000 [4 per cell]
Rh  0.2323  0.7500  0.1250 [8 per cell]

[2]
First-principles (PBE) data for a geometry-optimized ZrCd2Rh structure, as listed in Alexandria.

## Properties
The energy relative to the elements is -0.36 eV per formula unit. The calculation puts the total energy at -4.52 eV/atom. The density of states at the Fermi level is 3.57 states/eV/f.u. The volume is 77 Å³ per cell.

a = 3.2256 Å, b = 3.2256 Å, c = 7.3999 Å
α = 90.00°, β = 90.00°, γ = 90.00°
Space group P4/mmm (No. 123)
Unique sites:
Zr  0.0000  0.0000  0.0000 [1 per cell]
Cd  0.5000  0.5000  0.2817 [2 per cell]
Rh  0.0000  0.0000  0.5000 [1 per cell]

[3]
First-principles (PBE) data for a geometry-optimized ZrCdRh2 structure, as listed in Alexandria.

## Properties
The energy relative to the elements is -2.49 eV per formula unit. The calculation puts the total energy at -6.66 eV/atom. The density of states at the Fermi level is 0.30 states/eV/f.u. The volume is 68 Å³ per cell.

a = 4.3885 Å, b = 4.3885 Å, c = 3.5277 Å
α = 90.00°, β = 90.00°, γ = 90.00°
Space group P4/mmm (No. 123)
Unique sites:
Zr  0.0000  0.0000  0.0000 [1 per cell]
Cd  0.5000  0.5000  0.0000 [1 per cell]
Rh  0.0000  0.5000  0.5000 [2 per cell]

[4]
First-principles (PBE) data for a geometry-optimized ZrCdRh2 structure, as listed in Alexandria.

## Properties
The energy relative to the elements is -1.25 eV per formula unit. The calculation puts the total energy at -6.35 eV/atom. The density of states at the Fermi level is 3.20 states/eV/f.u. The volume is 220 Å³ per cell.

a = 3.1690 Å, b = 3.1690 Å, c = 25.2624 Å
α = 90.00°, β = 90.00°, γ = 120.00°
Space group R-3m (No. 166, hexagonal axes)
Unique sites:
Zr  0.0000  0.0000  0.0000 [3 per cell]
Cd  0.0000  0.0000  0.5000 [3 per cell]
Rh  0.0000  0.0000  0.2555 [6 per cell]

[5]
First-principles (PBE) data for a geometry-optimized Zr4CdRh5 structure, as listed in Alexandria.

## Properties
The energy relative to the elements is -7.06 eV per formula unit. The calculation puts the total energy at -7.89 eV/atom. The density of states at the Fermi level is 6.37 states/eV/f.u. The volume is 178 Å³ per cell.

a = 3.3480 Å, b = 3.3480 Å, c = 15.8687 Å
α = 90.00°, β = 90.00°, γ = 90.00°
Space group P4/mmm (No. 123)
Unique sites:
Zr  0.0000  0.0000  0.1003 [2 per cell]
Zr  0.0000  0.0000  0.3054 [2 per cell]
Cd  0.0000  0.0000  0.5000 [1 per cell]
Rh  0.5000  0.5000  0.0000 [1 per cell]
Rh  0.5000  0.5000  0.2016 [2 per cell]
Rh  0.5000  0.5000  0.3940 [2 per cell]

[6]
First-principles (PBE) data for a geometry-optimized ZrCd2Rh structure, as listed in Alexandria.

## Properties
The energy relative to the elements is -0.81 eV per formula unit. The calculation puts the total energy at -4.63 eV/atom. The density of states at the Fermi level is 2.13 states/eV/f.u. The volume is 155 Å³ per cell.

a = 10.2671 Å, b = 3.3905 Å, c = 4.6257 Å
α = 90.00°, β = 106.37°, γ = 90.00°
Space group C2/m (No. 12)
Unique sites:
Zr  0.0000  0.0000  0.0000 [2 per cell]
Cd  0.2364  0.0000  0.7339 [4 per cell]
Rh  0.0000  0.5000  0.5000 [2 per cell]

[7]
First-principles (PBE) data for a geometry-optimized ZrCdRh2 structure, as listed in Alexandria.

## Properties
The energy relative to the elements is -1.60 eV per formula unit. The calculation puts the total energy at -6.44 eV/atom. The density of states at the Fermi level is 1.88 states/eV/f.u. The volume is 71 Å³ per cell.

a = 3.2196 Å, b = 4.3203 Å, c = 5.3716 Å
α = 90.00°, β = 107.12°, γ = 90.00°
Space group Pm (No. 6)
Unique sites:
Zr  0.0000  0.0000  0.0000 [1 per cell]
Cd  0.7017  0.5000  0.3899 [1 per cell]
Rh  0.2711  0.0000  0.5285 [1 per cell]
Rh  0.4286  0.5000  0.8562 [1 per cell]

[8]
First-principles (PBE) data for a geometry-optimized ZrCd3Rh structure, as listed in Alexandria.

## Properties
The energy relative to the elements is 2.67 eV per formula unit. The calculation puts the total energy at -3.19 eV/atom. The density of states at the Fermi level is 7.54 states/eV/f.u. The volume is 126 Å³ per cell. The energy above the most stable polymorph in this dataset is 0 meV/atom.

a = 5.0086 Å, b = 5.0086 Å, c = 5.0086 Å
α = 90.00°, β = 90.00°, γ = 90.00°
Space group Pm-3m (No. 221)
Unique sites:
Zr  0.0000  0.0000  0.0000 [1 per cell]
Cd  0.0000  0.5000  0.5000 [3 per cell]
Rh  0.5000  0.5000  0.5000 [1 per cell]

[9]
First-principles (PBE) data for a geometry-optimized Zr4CdRh structure, as listed in Alexandria.

## Properties
The energy relative to the elements is 1.63 eV per formula unit. The calculation puts the total energy at -6.80 eV/atom. The density of states at the Fermi level is 7.35 states/eV/f.u. The volume is 512 Å³ per cell. The energy above the most stable polymorph in this dataset is 608 meV/atom.

a = 8.0002 Å, b = 8.0002 Å, c = 8.0002 Å
α = 90.00°, β = 90.00°, γ = 90.00°
Space group F-43m (No. 216)
Unique sites:
Zr  0.1241  0.1241  0.3759 [16 per cell]
Cd  0.0000  0.0000  0.0000 [4 per cell]
Rh  0.2500  0.2500  0.7500 [4 per cell]

[10]
First-principles (PBE) data for a geometry-optimized ZrCd2Rh structure, as listed in Alexandria.

## Properties
The energy relative to the elements is -0.88 eV per formula unit. The calculation puts the total energy at -4.65 eV/atom. The density of states at the Fermi level is 1.42 states/eV/f.u. The volume is 77 Å³ per cell.

a = 3.9969 Å, b = 3.9969 Å, c = 4.8313 Å
α = 90.00°, β = 90.00°, γ = 90.00°
Space group P4/mmm (No. 123)
Unique sites:
Zr  0.0000  0.0000  0.0000 [1 per cell]
Cd  0.0000  0.5000  0.5000 [2 per cell]
Rh  0.5000  0.5000  0.0000 [1 per cell]

[11]
First-principles (PBE) data for a geometry-optimized ZrCd4Rh structure, as listed in Alexandria.

## Properties
The energy relative to the elements is 0.63 eV per formula unit. The calculation puts the total energy at -3.16 eV/atom. The density of states at the Fermi level is 5.91 states/eV/f.u. The volume is 481 Å³ per cell.

a = 7.8341 Å, b = 7.8341 Å, c = 7.8341 Å
α = 90.00°, β = 90.00°, γ = 90.00°
Space group F-43m (No. 216)
Unique sites:
Zr  0.0000  0.0000  0.0000 [4 per cell]
Cd  0.1247  0.1247  0.6247 [16 per cell]
Rh  0.2500  0.2500  0.2500 [4 per cell]

[12]
First-principles (PBE) data for a geometry-optimized ZrCdRh2 structure, as listed in Alexandria.

## Properties
The energy relative to the elements is -2.00 eV per formula unit. The calculation puts the total energy at -6.54 eV/atom. The density of states at the Fermi level is 3.20 states/eV/f.u. The volume is 137 Å³ per cell.

a = 3.9211 Å, b = 3.9211 Å, c = 8.8800 Å
α = 90.00°, β = 90.00°, γ = 90.00°
Space group I-4m2 (No. 119)
Unique sites:
Zr  0.0000  0.0000  0.0000 [2 per cell]
Cd  0.0000  0.5000  0.7500 [2 per cell]
Rh  0.0000  0.0000  0.5000 [2 per cell]
Rh  0.0000  0.5000  0.2500 [2 per cell]

[13]
First-principles (PBE) data for a geometry-optimized ZrCdRh2 structure, as listed in Alexandria.

## Properties
The energy relative to the elements is 0.14 eV per formula unit. The calculation puts the total energy at -6.01 eV/atom. The density of states at the Fermi level is 5.42 states/eV/f.u. The volume is 212 Å³ per cell.

a = 2.9328 Å, b = 2.9328 Å, c = 28.4690 Å
α = 90.00°, β = 90.00°, γ = 120.00°
Space group R3m (No. 160, hexagonal axes)
Unique sites:
Zr  0.0000  0.0000  0.0000 [3 per cell]
Cd  0.0000  0.0000  0.2376 [3 per cell]
Rh  0.0000  0.0000  0.4897 [3 per cell]
Rh  0.0000  0.0000  0.7478 [3 per cell]

[14]
First-principles (PBE) data for a geometry-optimized ZrCd2Rh structure, as listed in Alexandria.

## Properties
The energy relative to the elements is -0.01 eV per formula unit. The calculation puts the total energy at -4.43 eV/atom. The density of states at the Fermi level is 3.79 states/eV/f.u. The volume is 234 Å³ per cell.

a = 3.0394 Å, b = 3.0394 Å, c = 29.2425 Å
α = 90.00°, β = 90.00°, γ = 120.00°
Space group R-3m (No. 166, hexagonal axes)
Unique sites:
Zr  0.0000  0.0000  0.0000 [3 per cell]
Cd  0.0000  0.0000  0.2420 [6 per cell]
Rh  0.0000  0.0000  0.5000 [3 per cell]

[15]
First-principles (PBE) data for a geometry-optimized ZrCd2Rh structure, as listed in Alexandria.

## Properties
The energy relative to the elements is -0.94 eV per formula unit. The calculation puts the total energy at -4.67 eV/atom. The density of states at the Fermi level is 3.79 states/eV/f.u. The volume is 305 Å³ per cell.

a = 6.7284 Å, b = 6.7284 Å, c = 6.7284 Å
α = 90.00°, β = 90.00°, γ = 90.00°
Space group F-43m (No. 216)
Unique sites:
Zr  0.0000  0.0000  0.0000 [4 per cell]
Cd  0.0000  0.0000  0.5000 [4 per cell]
Cd  0.2500  0.2500  0.7500 [4 per cell]
Rh  0.2500  0.2500  0.2500 [4 per cell]

[16]
First-principles (PBE) data for a geometry-optimized ZrCd2Rh structure, as listed in Alexandria.

## Properties
The energy relative to the elements is -0.65 eV per formula unit. The calculation puts the total energy at -4.60 eV/atom. The density of states at the Fermi level is 2.40 states/eV/f.u. The volume is 77 Å³ per cell.

a = 3.0310 Å, b = 4.8814 Å, c = 5.3835 Å
α = 90.00°, β = 104.20°, γ = 90.00°
Space group P2/m (No. 10)
Unique sites:
Zr  0.0000  0.0000  0.0000 [1 per cell]
Cd  0.3447  0.5000  0.7332 [2 per cell]
Rh  0.5000  0.0000  0.5000 [1 per cell]

[17]
First-principles (PBE) data for a geometry-optimized ZrCd2Rh structure, as listed in Alexandria.

## Properties
The energy relative to the elements is -0.94 eV per formula unit. The calculation puts the total energy at -4.67 eV/atom. The density of states at the Fermi level is 2.50 states/eV/f.u. The volume is 154 Å³ per cell.

a = 4.2045 Å, b = 4.6375 Å, c = 7.8752 Å
α = 90.00°, β = 90.00°, γ = 90.00°
Space group Imm2 (No. 44)
Unique sites:
Zr  0.0000  0.0000  0.0000 [2 per cell]
Cd  0.0000  0.0000  0.5190 [2 per cell]
Cd  0.0000  0.5000  0.7630 [2 per cell]
Rh  0.0000  0.5000  0.2763 [2 per cell]

[18]
First-principles (PBE) data for a geometry-optimized ZrCd2Rh structure, as listed in Alexandria.

## Properties
The energy relative to the elements is -0.64 eV per formula unit. The calculation puts the total energy at -4.59 eV/atom. The density of states at the Fermi level is 1.42 states/eV/f.u. The volume is 249 Å³ per cell.

a = 3.1957 Å, b = 3.1957 Å, c = 28.1366 Å
α = 90.00°, β = 90.00°, γ = 120.00°
Space group R3m (No. 160, hexagonal axes)
Unique sites:
Zr  0.0000  0.0000  0.0000 [3 per cell]
Cd  0.0000  0.0000  0.5193 [3 per cell]
Cd  0.0000  0.0000  0.7581 [3 per cell]
Rh  0.0000  0.0000  0.2663 [3 per cell]

[19]
First-principles (PBE) data for a geometry-optimized Zr3CdRh4 structure, as listed in Alexandria.

## Properties
The energy relative to the elements is -5.71 eV per formula unit. The calculation puts the total energy at -7.71 eV/atom. The density of states at the Fermi level is 6.87 states/eV/f.u. The volume is 425 Å³ per cell.

a = 4.6431 Å, b = 4.6431 Å, c = 22.7588 Å
α = 90.00°, β = 90.00°, γ = 120.00°
Space group R-3m (No. 166, hexagonal axes)
Unique sites:
Zr  0.0000  0.0000  0.0000 [3 per cell]
Zr  0.0000  0.0000  0.2444 [6 per cell]
Cd  0.0000  0.0000  0.5000 [3 per cell]
Rh  0.0000  0.0000  0.1180 [6 per cell]
Rh  0.0000  0.0000  0.3695 [6 per cell]

[20]
First-principles (PBE) data for a geometry-optimized ZrCdRh2 structure, as listed in Alexandria.

## Properties
The energy relative to the elements is -0.64 eV per formula unit. The calculation puts the total energy at -6.20 eV/atom. The density of states at the Fermi level is 2.85 states/eV/f.u. The volume is 280 Å³ per cell.

a = 6.5402 Å, b = 6.5402 Å, c = 6.5402 Å
α = 90.00°, β = 90.00°, γ = 90.00°
Space group F-43m (No. 216)
Unique sites:
Zr  0.0000  0.0000  0.0000 [4 per cell]
Cd  0.2500  0.2500  0.7500 [4 per cell]
Rh  0.0000  0.0000  0.5000 [4 per cell]
Rh  0.2500  0.2500  0.2500 [4 per cell]

[21]
First-principles (PBE) data for a geometry-optimized ZrCdRh2 structure, as listed in Alexandria.

## Properties
The energy relative to the elements is -2.46 eV per formula unit. The calculation puts the total energy at -6.66 eV/atom. The density of states at the Fermi level is 1.76 states/eV/f.u. The volume is 69 Å³ per cell.

a = 3.2795 Å, b = 3.3681 Å, c = 6.2895 Å
α = 90.00°, β = 90.00°, γ = 90.00°
Space group Pmmm (No. 47)
Unique sites:
Zr  0.0000  0.0000  0.0000 [1 per cell]
Cd  0.0000  0.0000  0.5000 [1 per cell]
Rh  0.5000  0.5000  0.2393 [2 per cell]

[22]
First-principles (PBE) data for a geometry-optimized Zr4CdRh structure, as listed in Alexandria.

## Properties
The energy relative to the elements is -2.02 eV per formula unit. The calculation puts the total energy at -7.41 eV/atom. The density of states at the Fermi level is 5.06 states/eV/f.u. The volume is 127 Å³ per cell. The energy above the most stable polymorph in this dataset is 0 meV/atom.

a = 3.3236 Å, b = 3.3236 Å, c = 11.5058 Å
α = 90.00°, β = 90.00°, γ = 90.00°
Space group P4/mmm (No. 123)
Unique sites:
Zr  0.0000  0.0000  0.1423 [2 per cell]
Zr  0.5000  0.5000  0.3214 [2 per cell]
Cd  0.0000  0.0000  0.5000 [1 per cell]
Rh  0.5000  0.5000  0.0000 [1 per cell]

[23]
First-principles (PBE) data for a geometry-optimized ZrCd2Rh structure, as listed in Alexandria.

## Properties
The energy relative to the elements is -0.52 eV per formula unit. The calculation puts the total energy at -4.56 eV/atom. The density of states at the Fermi level is 1.89 states/eV/f.u. The volume is 301 Å³ per cell.

a = 6.7017 Å, b = 6.7017 Å, c = 6.7017 Å
α = 90.00°, β = 90.00°, γ = 90.00°
Space group Fm-3m (No. 225)
Unique sites:
Zr  0.0000  0.0000  0.0000 [4 per cell]
Cd  0.2500  0.2500  0.2500 [8 per cell]
Rh  0.0000  0.0000  0.5000 [4 per cell]

[24]
First-principles (PBE) data for a geometry-optimized Zr12Cd5Rh3 structure, as listed in Alexandria.

## Properties
The energy relative to the elements is 9.69 eV per formula unit. The calculation puts the total energy at -5.98 eV/atom. The density of states at the Fermi level is 23.45 states/eV/f.u. The volume is 4318 Å³ per cell.

a = 16.2834 Å, b = 16.2834 Å, c = 16.2834 Å
α = 90.00°, β = 90.00°, γ = 90.00°
Space group Ia-3d (No. 230)
Unique sites:
Zr  0.0119  0.0912  0.6478 [96 per cell]
Cd  0.0000  0.0000  0.0000 [16 per cell]
Cd  0.0000  0.2500  0.3750 [24 per cell]
Rh  0.0000  0.2500  0.1250 [24 per cell]

[25]
First-principles (PBE) data for a geometry-optimized CdRu2 structure, as listed in Alexandria.

## Properties
The energy relative to the elements is 0.71 eV per formula unit. The calculation puts the total energy at -6.25 eV/atom. The density of states at the Fermi level is 2.59 states/eV/f.u. The volume is 47 Å³ per cell. The energy above the most stable polymorph in this dataset is 62 meV/atom.

a = 2.8017 Å, b = 2.8017 Å, c = 6.9758 Å
α = 90.00°, β = 90.00°, γ = 120.00°
Space group P-3m1 (No. 164)
Unique sites:
Cd  0.0000  0.0000  0.0000 [1 per cell]
Ru  0.3333  0.6667  0.6445 [2 per cell]